The following is a DFT calculation (PBE with a Hubbard U) of crystalline LiCrPO4 at its relaxed geometry.

Computed properties:
* crystal system: triclinic
* energy relative to the lowest polymorph listed for this composition: 0.13 eV per formula unit
* calculated total energy: -199.2 eV/cell
* DOS at the Fermi energy: 0.00 states/eV per cell
* SG: P-1, No. 2

Unit cell a=5.627 b=6.502 c=9.572 alpha=108.03 beta=97.20 gamma=96.39
Each line ends with the local moment (μB).
Element x y z (fractional)
Li: 0.662 0.873 0.334  0.00
Li: 0.338 0.127 0.666  0.00
Li: 0.397 0.572 0.661  0.00
Li: 0.603 0.428 0.339  0.00
Cr: 0.999 0.831 0.734  3.79
Cr: 0.001 0.169 0.266  3.79
Cr: 0.775 0.284 0.911  3.79
Cr: 0.225 0.716 0.089  3.79
O: 0.694 0.193 0.675  0.00
O: 0.428 0.679 0.906  0.01
O: 0.884 0.660 0.359  0.01
O: 0.754 0.551 0.621  -0.01
O: 0.572 0.321 0.094  0.01
O: 0.768 0.200 0.420  -0.01
O: 0.306 0.807 0.325  0.00
O: 0.232 0.800 0.580  -0.01
O: 0.730 0.910 0.140  0.00
O: 0.775 0.951 0.885  -0.02
O: 0.246 0.449 0.379  -0.01
O: 0.864 0.613 0.937  0.00
O: 0.116 0.340 0.641  0.01
O: 0.270 0.090 0.860  0.00
O: 0.225 0.049 0.115  -0.02
O: 0.136 0.387 0.063  0.00
P: 0.693 0.788 0.970  0.01
P: 0.158 0.677 0.407  0.01
P: 0.307 0.212 0.030  0.01
P: 0.842 0.323 0.593  0.01